[1]
Compound: TbPPd
Source: Alexandria
Functional: PBE
Structure: optimized geometry

abc: 6.879 4.039 11.766
angles: 90.00 90.50 90.00
Space group P2_1/m (No. 11)
Inequivalent atoms, fractional coordinates:
Tb 0.030 0.250 0.123 (multiplicity 2)
Tb 0.164 0.250 0.422 (multiplicity 2)
Tb 0.467 0.750 0.792 (multiplicity 2)
P 0.240 0.750 0.250 (multiplicity 2)
P 0.252 0.750 0.587 (multiplicity 2)
P 0.255 0.250 0.919 (multiplicity 2)
Pd 0.128 0.250 0.705 (multiplicity 2)
Pd 0.352 0.750 0.042 (multiplicity 2)
Pd 0.496 0.750 0.408 (multiplicity 2)

## Properties
For the formation enthalpy at 0 K, the calculation gives -1.256 eV/atom. The calculation puts the density of states at the Fermi level at 2.64 states/eV/cell. The total energy comes out at -6.3338 eV per atom. For the mass density, the calculation gives 9.03 Mg/m³.

[2]
Compound: NdSm3Pt8
Source: Alexandria
Functional: PBE
Structure: optimized geometry

abc: 5.5051 5.5051 9.0054
angles: 90.00 90.00 120.00
Space group P3m1 (No. 156)
Inequivalent atoms, fractional coordinates:
Nd 0.0000 0.0000 0.0000 (multiplicity 1)
Sm 0.0000 0.0000 0.3709 (multiplicity 1)
Sm 0.6667 0.3333 0.4989 (multiplicity 1)
Sm 0.6667 0.3333 0.8681 (multiplicity 1)
Pt 0.1649 0.3298 0.6837 (multiplicity 3)
Pt 0.3333 0.6667 0.4341 (multiplicity 1)
Pt 0.3333 0.6667 0.9343 (multiplicity 1)
Pt 0.5020 0.0040 0.1853 (multiplicity 3)

## Properties
For the formation enthalpy at 0 K, the calculation gives -1.022 eV/atom. The calculation puts the density of states at the Fermi level at 4.88 states/eV/cell. The offset from the most stable computed form is 58 meV/atom. The total energy comes out at -6.6264 eV per atom. For the mass density, the calculation gives 15.15 Mg/m³.

[3]
Compound: Ho3NiAg2
Source: Alexandria
Functional: PBE
Structure: optimized geometry

abc: 13.947 5.778 7.676
angles: 90.00 106.05 90.00
Space group C2/c (No. 15)
Inequivalent atoms, fractional coordinates:
Ho 0.000 0.001 0.250 (multiplicity 4)
Ho 0.137 0.499 0.069 (multiplicity 8)
Ni 0.000 0.499 0.750 (multiplicity 4)
Ag 0.184 0.001 0.591 (multiplicity 8)

## Properties
For the formation enthalpy at 0 K, the calculation gives -0.173 eV/atom. The calculation puts the density of states at the Fermi level at 14.44 states/eV/cell. The offset from the most stable computed form is 154 meV/atom. The total energy comes out at -4.3754 eV per atom. For the mass density, the calculation gives 8.60 Mg/m³.